Compound: Tb2Be2GeRh5
Source: Alexandria via LeMat-Bulk
Functional: PBE
Structure: optimized geometry

Its calculated volume is 14.969 Å³/atom. The value obtained for the total energy is -6.606 eV per atom.

```
Tb2Be2GeRh5
1.0
9.6372 0.0000 0.0000
0.0000 9.6372 0.0000
0.0000 0.0000 3.2233
Tb Be Ge Rh
4 4 2 10
Direct
0.1764 0.3236 0.0000
0.3236 0.8236 0.0000
0.6764 0.1764 0.0000
0.8236 0.6764 0.0000
0.1204 0.6204 0.0000
0.3796 0.1204 0.0000
0.6204 0.8796 0.0000
0.8796 0.3796 0.0000
0.0000 0.0000 0.0000
0.5000 0.5000 0.0000
0.0000 0.5000 0.5000
0.0662 0.7903 0.5000
0.2097 0.0662 0.5000
0.2903 0.5662 0.5000
0.4338 0.2903 0.5000
0.5000 0.0000 0.5000
0.5662 0.7097 0.5000
0.7097 0.4338 0.5000
0.7903 0.9338 0.5000
0.9338 0.2097 0.5000
```

---

Compound: Tb2BeGeRh6
Source: Alexandria via LeMat-Bulk
Functional: PBE
Structure: optimized geometry

Its calculated volume is 17.112 Å³/atom. The value obtained for the total energy is -6.680 eV per atom.

```
Tb2BeGeRh6
1.0
-3.1118 3.1206 4.4056
3.1118 -3.1206 4.4056
3.1118 3.1206 -4.4056
Tb Be Ge Rh
2 1 1 6
Direct
0.2502 0.2502 0.0000
0.7498 0.7498 0.0000
0.5000 0.0000 0.5000
0.0000 0.5000 0.5000
0.2626 0.2372 0.4998
0.2626 0.7628 0.0253
0.2627 0.7627 0.5000
0.7373 0.2373 0.5000
0.7374 0.2372 0.9747
0.7374 0.7628 0.5002
```

---

Compound: Th2Be4Ge3Rh
Source: Alexandria via LeMat-Bulk
Functional: PBE
Structure: optimized geometry

Its calculated volume is 16.056 Å³/atom. The value obtained for the total energy is -5.568 eV per atom.

```
Th2Be4Ge3Rh
1.0
4.0563 0.0000 0.0000
0.0000 4.0563 0.0000
0.0000 0.0000 9.7582
Th Be Ge Rh
2 4 3 1
Direct
0.0000 0.5000 0.2488
0.5000 0.0000 0.7512
0.0000 0.0000 0.5000
0.0000 0.5000 0.8764
0.5000 0.0000 0.1236
0.5000 0.5000 0.5000
0.0000 0.0000 0.0000
0.0000 0.5000 0.6299
0.5000 0.0000 0.3701
0.5000 0.5000 0.0000
```

---

Compound: Th2BeGeRh6
Source: Alexandria via LeMat-Bulk
Functional: PBE
Structure: optimized geometry

Its calculated volume is 17.581 Å³/atom. The value obtained for the total energy is -7.410 eV per atom.

```
Th2BeGeRh6
1.0
5.3743 -3.2487 0.0000
5.3743 3.2487 0.0000
-3.4546 0.0000 5.0347
Th Be Ge Rh
2 1 1 6
Direct
0.2469 0.2469 0.2472
0.7531 0.7531 0.7528
0.5000 0.5000 0.0000
0.0000 0.0000 0.5000
0.2616 0.2616 0.7626
0.2711 0.7286 0.2481
0.2714 0.7289 0.7519
0.7286 0.2711 0.2481
0.7289 0.2714 0.7519
0.7384 0.7384 0.2374
```

---

Compound: Th4Be3GeRh12
Source: Alexandria via LeMat-Bulk
Functional: PBE
Structure: optimized geometry

Its calculated volume is 16.835 Å³/atom. The value obtained for the total energy is -7.411 eV per atom.

```
Th4Be3GeRh12
1.0
-4.3826 4.3826 4.3826
4.3826 -4.3826 4.3826
4.3826 4.3826 -4.3826
Th Be Ge Rh
4 3 1 12
Direct
0.0000 0.0000 0.5000
0.0000 0.5000 0.0000
0.5000 0.0000 0.0000
0.5000 0.5000 0.5000
0.0000 0.5000 0.5000
0.5000 0.0000 0.5000
0.5000 0.5000 0.0000
0.0000 0.0000 0.0000
0.0000 0.2628 0.2628
0.0000 0.7372 0.7372
0.2500 0.5000 0.7500
0.2500 0.7500 0.5000
0.2628 0.0000 0.2628
0.2628 0.2628 0.0000
0.5000 0.2500 0.7500
0.5000 0.7500 0.2500
0.7372 0.0000 0.7372
0.7372 0.7372 0.0000
0.7500 0.2500 0.5000
0.7500 0.5000 0.2500
```

---

Compound: ThBe2GeRh2
Source: Alexandria via LeMat-Bulk
Functional: PBE
Structure: optimized geometry

Its calculated volume is 16.309 Å³/atom. The value obtained for the total energy is -5.826 eV per atom.

```
ThBe2GeRh2
1.0
4.1418 0.0000 0.0000
0.0000 4.1418 0.0000
0.0000 0.0000 5.7044
Th Be Ge Rh
1 2 1 2
Direct
0.0000 0.0000 0.0000
0.0000 0.5000 0.5000
0.5000 0.0000 0.5000
0.0000 0.0000 0.5000
0.5000 0.5000 0.2523
0.5000 0.5000 0.7477
```

---

Compound: Th3Be2GeRh9
Source: Alexandria via LeMat-Bulk
Functional: PBE
Structure: optimized geometry

Its calculated volume is 17.031 Å³/atom. The value obtained for the total energy is -7.430 eV per atom.

```
Th3Be2GeRh9
1.0
6.2398 0.0000 0.0000
-3.1199 5.4039 0.0000
0.0000 0.0000 7.5764
Th Be Ge Rh
3 2 1 9
Direct
0.0000 0.0000 0.0000
0.3333 0.6667 0.6726
0.6667 0.3333 0.3274
0.3333 0.6667 0.1466
0.6667 0.3333 0.8534
0.0000 0.0000 0.5000
0.0000 0.5000 0.0000
0.1771 0.3541 0.3237
0.1771 0.8229 0.3237
0.3541 0.1771 0.6763
0.5000 0.0000 0.0000
0.5000 0.5000 0.0000
0.6459 0.8229 0.3237
0.8229 0.1771 0.6763
0.8229 0.6459 0.6763
```

---

Compound: TiBeGeRh2
Source: Alexandria via LeMat-Bulk
Functional: PBE
Structure: optimized geometry

Its calculated volume is 14.386 Å³/atom. The value obtained for the total energy is -6.257 eV per atom.

```
TiBeGeRh2
1.0
4.1196 0.0000 0.0000
0.0000 4.1196 0.0000
0.0000 0.0000 4.2384
Ti Be Ge Rh
1 1 1 2
Direct
0.0000 0.0000 0.0000
0.5000 0.5000 0.5000
0.5000 0.5000 0.0000
0.0000 0.5000 0.5000
0.5000 0.0000 0.5000
```

---

| no. | ρ (g cm⁻³) |
| --- | --- |
| 1 | 10.24 |
| 2 | 9.87 |
| 3 | 8.49 |
| 4 | 10.99 |
| 5 | 11.16 |
| 6 | 8.97 |
| 7 | 11.13 |
| 8 | 7.74 |